(1)
Entry from Alexandria: a relaxed structure of Rb2CdInHg6 (GGA-PBE).

Cell and atoms, written as POSCAR:
```
Rb2CdInHg6
1.0
6.377 0.000 0.000
3.111 7.438 0.000
3.077 -0.610 7.432
Rb Cd In Hg
2 1 1 6
Direct
0.044 0.213 0.206
0.956 0.787 0.794
0.500 0.500 0.000
0.500 0.000 0.500
0.004 0.741 0.261
0.367 0.401 0.397
0.495 0.756 0.244
0.505 0.244 0.756
0.633 0.599 0.603
0.996 0.259 0.739
```

Summary:
Its formation energy is -0.13 eV per atom. For the magnetization, the calculation gives 0.0 μB/f.u. As for the space group: P-1. As for the total energy: -0.0320 Ha/atom. Its volume is 35.3 Å³/atom.

***

(2)
Entry from Alexandria: a relaxed structure of Ni3PtS6 (GGA-PBE).

Cell and atoms, written as POSCAR:
```
Ni3PtS6
1.0
4.155 -5.640 0.000
4.155 5.640 0.000
0.000 0.000 3.487
Ni Pt S
3 1 6
Direct
0.000 0.000 0.000
0.000 0.500 0.500
0.500 0.000 0.500
0.500 0.500 0.000
0.061 0.321 0.000
0.321 0.061 0.000
0.353 0.647 0.500
0.647 0.353 0.500
0.679 0.939 0.000
0.939 0.679 0.000
```

Summary:
For the magnetization, the calculation gives 0.0 μB/f.u. As for the space group: Cmmm. For the uncorrected formation energy, the calculation gives -1.861 eV/f.u. As for the total energy: -0.1838 Ha/atom. Its volume is 16.3 Å³/atom.

***

(3)
Entry from Alexandria: a relaxed structure of Ca4NiAg (GGA-PBE).

Cell and atoms, written as POSCAR:
```
Ca4NiAg
1.0
0.000 4.566 4.566
4.566 0.000 4.566
4.566 4.566 0.000
Ca Ni Ag
4 1 1
Direct
0.125 0.125 0.125
0.125 0.125 0.626
0.125 0.626 0.125
0.626 0.125 0.125
0.750 0.750 0.750
0.500 0.500 0.500
```

Summary:
Its formation energy is 0.71 eV per atom. For the magnetization, the calculation gives 0.0 μB/f.u. As for the space group: F-43m. The calculation puts the polymorph energy (0 for the lowest one) at 5.15 eV/f.u. As for the total energy: -0.0760 Ha/atom. Its volume is 31.7 Å³/atom.

***

Repeat the first record exactly.
Entry from Alexandria: a relaxed structure of Rb2CdInHg6 (GGA-PBE).

Cell and atoms, written as POSCAR:
```
Rb2CdInHg6
1.0
6.377 0.000 0.000
3.111 7.438 0.000
3.077 -0.610 7.432
Rb Cd In Hg
2 1 1 6
Direct
0.044 0.213 0.206
0.956 0.787 0.794
0.500 0.500 0.000
0.500 0.000 0.500
0.004 0.741 0.261
0.367 0.401 0.397
0.495 0.756 0.244
0.505 0.244 0.756
0.633 0.599 0.603
0.996 0.259 0.739
```

Summary:
Its formation energy is -0.13 eV per atom. For the magnetization, the calculation gives 0.0 μB/f.u. As for the space group: P-1. As for the total energy: -0.0320 Ha/atom. Its volume is 35.3 Å³/atom.